Here is an optimized crystal structure of HfTaTcOs from OQMD via LeMat-Bulk. Energies are from PBE.

The structure in POSCAR format:
```
HfTaTcOs
1.0
0.000 3.217 3.217
3.217 0.000 3.217
3.217 3.217 0.000
Hf Ta Tc Os
1 1 1 1
Cartesian
0.000 0.000 0.000
3.217 3.217 3.217
1.608 1.608 1.608
4.825 4.825 4.825
```

## Properties
crystal system: cubic
space group: F-43m

---

Here is an optimized crystal structure of Pr4Cu3Ag from OQMD via LeMat-Bulk. Energies are from PBE.

The structure in POSCAR format:
```
Pr4Cu3Ag
1.0
5.776 0.000 0.000
0.000 4.676 0.000
-0.012 0.000 7.467
Pr Cu Ag
4 3 1
Cartesian
0.000 0.000 0.000
1.283 0.000 3.648
2.804 2.338 6.440
4.188 2.338 2.597
1.362 2.338 1.579
2.803 0.000 1.055
5.695 2.338 5.315
4.202 0.000 4.788
```

## Properties
crystal system: monoclinic
space group: Pm

---

| no. | DFT formation energy (meV/atom) |
| --- | --- |
| 1 | -593 |
| 2 | -183 |